NbAlSiI2: optimized geometry, GGA-PBE.

The structure in POSCAR format:
```
NbAlSiI2
1.0
5.672 0.000 0.000
0.000 5.101 0.000
0.000 0.000 5.672
I Si Nb Al
2 1 1 1
Cartesian
0.000 0.000 2.836
2.836 0.000 0.000
0.000 0.000 0.000
0.000 2.550 0.000
2.836 2.550 2.836
```

Output
Space-group type = No. 123
Total magnetic moment = 3.54 Bohr magnetons per cell
Raw total energy = -17.37 eV/cell
Calculated density = 4066 kg/m3

CaCd12In16: optimized geometry, GGA-PBE.

The structure in POSCAR format:
```
CaCd12In16
1.0
-4.518 3.691 7.982
-1.701 -9.725 -0.522
9.817 1.711 0.552
Cd In Ca
12 16 1
Cartesian
4.153 -2.304 5.010
3.306 -1.283 0.178
-3.352 -4.664 6.248
2.008 -4.482 4.835
4.020 2.629 6.827
0.136 1.688 3.168
-2.003 -0.443 2.881
1.201 -3.386 -0.048
5.795 -5.826 1.468
2.765 1.296 1.813
-1.479 -2.938 1.300
1.474 -1.938 6.447
5.198 -0.586 2.645
1.239 -1.511 2.795
3.254 -7.027 3.054
6.774 -3.517 3.431
2.707 0.538 4.933
-0.754 0.114 5.785
0.801 3.229 5.782
6.829 4.139 5.822
5.971 0.307 5.855
1.577 0.960 8.117
0.390 -5.335 2.331
2.754 -6.074 -0.115
0.339 -4.811 7.702
3.607 -3.746 2.218
3.618 -4.299 7.981
8.686 -4.708 0.214
-1.017 -3.131 4.603
```

Output
Space-group type = No. 8
Total magnetic moment = 0.00 Bohr magnetons per cell
Raw total energy = -57.36 eV/cell
Calculated density = 7204 kg/m3
ΔE_f = -0.019 eV per atom

Ce6In2B: optimized geometry, GGA-PBE.

The structure in POSCAR format:
```
Ce6In2B
1.0
6.703 0.000 -0.177
0.000 6.825 0.000
0.271 0.000 10.157
B Ce In
2 12 4
Cartesian
3.351 3.413 -0.088
0.135 0.000 5.079
5.532 5.118 10.018
2.045 1.706 5.027
0.070 6.824 2.591
4.928 1.706 4.953
1.441 5.119 -0.037
5.532 1.707 10.018
6.903 0.001 7.389
3.416 3.412 2.399
1.441 1.707 -0.038
4.928 5.119 4.953
3.557 3.414 7.581
2.045 5.119 5.028
6.772 3.412 2.477
3.556 0.001 7.644
0.201 3.413 7.504
3.417 6.825 2.337
```

Output
Space-group type = No. 71
Total magnetic moment = 7.70 Bohr magnetons per cell
Raw total energy = -99.12 eV/cell
Calculated density = 7722 kg/m3
ΔE_f = -0.200 eV per atom

InCu2As: optimized geometry, GGA-PBE.

The structure in POSCAR format:
```
InCu2As
1.0
-3.936 1.558 -4.981
-5.127 -2.829 -2.906
3.173 2.283 5.239
Cu As In
2 1 1
Cartesian
-2.301 1.652 -1.541
-0.654 -0.092 -0.569
-3.204 -0.585 -0.771
-4.263 -0.598 -3.710
```

Output
Space-group type = No. 44
Total magnetic moment = 0.00 Bohr magnetons per cell
Raw total energy = -15.09 eV/cell
Calculated density = 7176 kg/m3
ΔE_f = 0.123 eV per atom

KAgTe2: optimized geometry, GGA-PBE.

The structure in POSCAR format:
```
KAgTe2
1.0
6.398 0.090 -0.018
1.573 6.202 0.018
-2.996 -4.399 3.551
Te K Ag
2 1 1
Cartesian
7.326 5.783 0.000
4.631 3.655 0.000
1.281 2.475 1.784
3.693 -0.582 1.767
```

Output
Space-group type = No. 71
Total magnetic moment = 0.00 Bohr magnetons per cell
Raw total energy = -11.54 eV/cell
Calculated density = 4746 kg/m3

NaGaCoSn2: optimized geometry, GGA-PBE.

The structure in POSCAR format:
```
NaGaCoSn2
1.0
-0.021 -4.963 0.522
4.278 0.251 2.558
-2.388 0.426 3.952
Ga Sn Co Na
1 2 1 1
Cartesian
-1.194 0.213 1.976
2.139 0.125 1.279
-0.011 -2.482 0.261
0.000 0.000 0.000
0.934 -2.144 3.516
```

Output
Space-group type = No. 123
Total magnetic moment = 0.00 Bohr magnetons per cell
Raw total energy = -19.58 eV/cell
Calculated density = 5594 kg/m3
ΔE_f = -0.025 eV per atom

LiHoTh2S4: optimized geometry, GGA-PBE.

The structure in POSCAR format:
```
LiHoTh2S4
1.0
3.848 0.000 0.000
0.000 7.101 -0.320
0.000 2.328 6.221
Th Li S Ho
2 1 4 1
Cartesian
1.924 1.164 3.110
0.000 2.328 6.221
1.924 3.551 -0.160
0.000 6.936 4.511
3.848 2.493 1.390
1.924 3.686 4.580
1.924 5.744 1.322
0.000 4.715 2.951
```

Output
Space-group type = No. 10
Total magnetic moment = 0.00 Bohr magnetons per cell
Raw total energy = -52.15 eV/cell
Calculated density = 7341 kg/m3

K7Rb2: optimized geometry, GGA-PBE.

The structure in POSCAR format:
```
K7Rb2
1.0
-4.114 0.245 7.149
-1.488 -6.050 -5.411
8.240 -6.467 4.964
K Rb
7 2
Cartesian
0.000 0.000 0.000
1.706 -8.172 4.452
1.784 -6.235 -1.949
4.967 -6.282 1.501
4.100 -4.203 5.649
0.931 -4.100 2.249
0.026 -2.019 6.464
-2.364 -3.951 -1.225
-3.239 -1.853 2.962
```

Output
Space-group type = No. 162
Total magnetic moment = 0.00 Bohr magnetons per cell
Raw total energy = -9.58 eV/cell
Offset from the most stable computed form = 0 meV per atom
Calculated density = 1080 kg/m3
ΔE_f = 0.005 eV per atom

LaPClO2: optimized geometry, GGA-PBE.

The structure in POSCAR format:
```
LaPClO2
1.0
-2.821 -1.657 2.680
1.195 -3.891 -1.147
4.715 -0.013 4.955
O P Cl La
2 1 1 1
Cartesian
-1.411 -0.828 1.340
0.598 -1.946 -0.574
2.357 -0.006 2.478
1.544 -2.780 3.244
0.000 0.000 0.000
```

Output
Space-group type = No. 123
Total magnetic moment = 1.62 Bohr magnetons per cell
Raw total energy = -25.65 eV/cell
Offset from the most stable computed form = 0 meV per atom
Calculated density = 3221 kg/m3

NaCdBiRh: optimized geometry, GGA-PBE.

The structure in POSCAR format:
```
NaCdBiRh
1.0
4.867 0.000 0.000
2.433 4.215 0.000
2.433 1.405 3.974
Na Cd Bi Rh
1 1 1 1
Cartesian
0.000 0.000 0.000
7.300 4.215 2.980
2.433 1.405 0.993
4.867 2.810 1.987
```

Output
Space-group type = No. 216
Total magnetic moment = 0.00 Bohr magnetons per cell
Raw total energy = -13.83 eV/cell
Calculated density = 9112 kg/m3
ΔE_f = -0.090 eV per atom

Ba2GdB2ClO6: optimized geometry, GGA-PBE.

The structure in POSCAR format:
```
Ba2GdB2ClO6
1.0
5.379 0.000 0.000
0.000 6.516 -0.008
0.000 1.150 11.539
Gd Cl B O Ba
2 2 4 12 4
Cartesian
1.345 6.190 6.788
4.034 1.477 4.743
4.034 4.332 0.952
1.345 3.335 10.579
1.345 1.056 2.569
1.345 2.557 6.630
4.034 6.611 8.962
4.034 5.110 4.900
1.345 6.519 1.663
5.215 5.848 5.010
2.854 5.848 5.010
0.157 1.649 2.996
1.345 3.885 6.930
0.164 1.819 6.520
4.034 3.782 4.600
4.034 1.148 9.867
2.525 1.819 6.520
2.846 6.018 8.535
2.533 1.649 2.996
5.222 6.018 8.535
4.034 3.451 8.182
4.034 1.125 0.862
1.345 6.542 10.668
1.345 4.216 3.349
```

Output
Space-group type = No. 11
Total magnetic moment = 13.97 Bohr magnetons per cell
Raw total energy = -195.38 eV/cell
Calculated density = 4803 kg/m3

CaMg6Co: optimized geometry, GGA-PBE.

The structure in POSCAR format:
```
CaMg6Co
1.0
3.135 -5.895 0.000
3.135 5.895 0.000
0.000 0.000 4.884
Mg Co Ca
6 1 1
Cartesian
1.613 -0.716 2.442
3.135 -1.863 0.000
4.652 0.929 0.000
4.656 -0.716 2.442
3.135 -3.759 2.442
1.617 0.929 0.000
3.135 1.593 2.442
3.135 3.604 0.000
```

Output
Space-group type = No. 38
Total magnetic moment = 1.10 Bohr magnetons per cell
Raw total energy = -17.51 eV/cell
Calculated density = 2252 kg/m3
ΔE_f = 0.146 eV per atom

> Among the records above, which one has the highest raw total energy?

K7Rb2